Record 1
Cr2CuTc: optimized geometry, PBE.

Values from the calculation:
spin magnetization = 0.3654 μB/atom
energy relative to the elements = 0.24 eV per atom
DFT total energy = -8.19 eV per atom
space group = P4mm (99)

abc: 2.943 2.943 5.920
angles: 90.00 90.00 90.00
Sites, in units of the cell vectors:
Cr 0.000 0.000 0.000
Cr 0.500 0.500 0.228
Cu 0.000 0.000 0.473
Tc 0.500 0.500 0.755

Record 2
PmSi2Ni: optimized geometry, PBE.

Values from the calculation:
spin magnetization = 0.0000 μB/atom
ΔE to the lowest computed polymorph = 0.000 eV/atom
formation energy without anion corrections = -3.34 eV/f.u.
DFT total energy = -6.18 eV per atom
space group = P2_1/m (11)

abc: 4.124 4.035 8.475
angles: 90.00 104.05 90.00
Sites, in units of the cell vectors:
Pm 0.106 0.250 0.212
Pm 0.894 0.750 0.788
Si 0.251 0.750 0.499
Si 0.460 0.250 0.918
Si 0.540 0.750 0.082
Si 0.749 0.250 0.501
Ni 0.318 0.250 0.639
Ni 0.682 0.750 0.361